# 1
Entry from the Alexandria database: KRb2CeF8 after structural relaxation (PBE).

abc: 7.5213 7.5213 7.5213
angles: 130.72 130.72 72.26
Last column: nearest neighbours and their distance in Å.
Atoms (fractional coordinates):
K1 0.0000 0.0000 0.0000  8 F 2.79
Rb1 0.2500 0.7500 0.5000  8 F 2.89
Rb2 0.5000 0.5000 0.0000  8 F 2.85
Ce1 0.7500 0.2500 0.5000  8 F 2.29
F1 0.0654 0.1447 0.4918  1 Ce 2.29
F2 0.0654 0.5736 0.9207  1 Ce 2.29
F3 0.4264 0.3470 0.4918  1 Ce 2.29
F4 0.4264 0.9346 0.0793  1 Ce 2.29
F5 0.6530 0.1447 0.0793  1 Ce 2.29
F6 0.6530 0.5736 0.5082  1 Ce 2.29
F7 0.8553 0.3470 0.9207  1 Ce 2.29
F8 0.8553 0.9346 0.5082  1 Ce 2.29

## Properties
**SG**: I-4m2
**Energy**: -4.990 eV per atom

---

# 2
Entry from the Alexandria database: LiHo2Ga4Cu3 after structural relaxation (PBE).

abc: 4.0412 4.0412 10.6750
angles: 90.00 90.00 90.00
Last column: nearest neighbours and their distance in Å.
Atoms (fractional coordinates):
Li1 0.0000 0.0000 0.0000  4 Ga 2.52
Ho1 0.0000 0.5000 0.7410  6 Cu 3.07-3.42, 8 Ga 3.13-3.27, 2 Li 3.42
Ho2 0.5000 0.0000 0.2590  6 Cu 3.07-3.42, 8 Ga 3.13-3.27, 2 Li 3.42
Ga1 0.0000 0.0000 0.5000  4 Cu 2.48
Ga2 0.0000 0.5000 0.1405  3 Cu 2.39-2.52, 2 Li 2.52
Ga3 0.5000 0.0000 0.8595  3 Cu 2.39-2.52, 2 Li 2.52
Ga4 0.5000 0.5000 0.5000  4 Cu 2.48
Cu1 0.0000 0.5000 0.3646  5 Ga 2.39-2.48
Cu2 0.5000 0.0000 0.6354  5 Ga 2.39-2.48
Cu3 0.5000 0.5000 0.0000  4 Ga 2.52

## Properties
**ΔH_f (0 K)**: -407 meV per atom
**SG**: P-4m2

---

# 3
Entry from the Alexandria database: MgTlTe2 after structural relaxation (PBE).

abc: 5.4641 5.4641 5.4641
angles: 60.00 60.00 60.00
Last column: nearest neighbours and their distance in Å.
Atoms (fractional coordinates):
Mg1 0.0000 0.0000 0.0000  4 Tl 3.35, 4 Te 3.35
Tl1 0.7500 0.7500 0.7500  4 Te 3.35, 4 Mg 3.35
Te1 0.2500 0.2500 0.2500  4 Te 3.35, 4 Mg 3.35
Te2 0.5000 0.5000 0.5000  4 Tl 3.35, 4 Te 3.35

## Properties
**SG**: F-43m
**Energy**: -2.556 eV per atom

---

# 4
Entry from the Alexandria database: AlAsAuSe2 after structural relaxation (PBE).

abc: 4.8670 4.8670 4.8513
angles: 90.00 90.00 90.00
Last column: nearest neighbours and their distance in Å.
Atoms (fractional coordinates):
Al1 0.0000 0.0000 0.0000  2 As 2.43, 4 Se 2.43
As1 0.0000 0.0000 0.5000  2 Al 2.43
Au1 0.5000 0.5000 0.5000  8 Se 3.44, 4 As 3.44
Se1 0.0000 0.5000 0.0000  2 Al 2.43
Se2 0.5000 0.0000 0.0000  2 Al 2.43

## Properties
**SG**: P4/mmm
**Energy**: -3.255 eV per atom

---

# 5
Entry from the Alexandria database: NdLuAl4 after structural relaxation (PBE).

abc: 5.5944 5.5944 5.5944
angles: 60.00 60.00 60.00
Last column: nearest neighbours and their distance in Å.
Atoms (fractional coordinates):
Nd1 0.0000 0.0000 0.0000  12 Al 3.28, 4 Lu 3.43
Lu1 0.2500 0.2500 0.2500  12 Al 3.28, 4 Nd 3.43
Al1 0.1256 0.6248 0.6248  6 Al 2.79-2.80
Al2 0.6248 0.1256 0.6248  6 Al 2.79-2.80
Al3 0.6248 0.6248 0.1256  6 Al 2.79-2.80
Al4 0.6248 0.6248 0.6248  6 Al 2.79-2.80

## Properties
**ΔH_f (0 K)**: -473 meV per atom
**SG**: F-43m

---

# 6
Entry from the Alexandria database: KH6Au2 after structural relaxation (PBE).

abc: 4.7024 4.7024 5.8285
angles: 90.50 90.50 96.33
Last column: nearest neighbours and their distance in Å.
Atoms (fractional coordinates):
K1 0.0000 0.0000 0.0000  8 H 2.66-2.67
H1 0.0015 0.5016 0.2166  1 Au 1.65
H2 0.2304 0.2304 0.5001  2 Au 1.76
H3 0.4984 0.9985 0.7834  1 Au 1.65
H4 0.5016 0.0015 0.2166  1 Au 1.65
H5 0.7696 0.7696 0.4999  2 Au 1.76
H6 0.9985 0.4984 0.7834  1 Au 1.65
Au1 0.0000 0.5000 0.5000  4 H 1.65-1.76
Au2 0.5000 0.0000 0.5000  4 H 1.65-1.76

## Properties
**SG**: C2/m
**Energy**: -3.050 eV per atom

---

# 7
Entry from the Alexandria database: ScPaZnNi after structural relaxation (PBE).

abc: 4.7716 4.7716 4.7716
angles: 60.00 60.00 60.00
Last column: nearest neighbours and their distance in Å.
Atoms (fractional coordinates):
Sc1 0.0000 0.0000 0.0000  4 Ni 2.92, 4 Zn 2.92
Pa1 0.5000 0.5000 0.5000  4 Ni 2.92, 4 Zn 2.92
Zn1 0.2500 0.2500 0.2500  4 Pa 2.92, 4 Sc 2.92
Ni1 0.7500 0.7500 0.7500  4 Pa 2.92, 4 Sc 2.92

## Properties
**ΔH_f (0 K)**: -122 meV per atom
**SG**: F-43m

---

# 8
Entry from the Alexandria database: La2Sm5YTh after structural relaxation (PBE).

abc: 10.6648 10.6648 10.6574
angles: 90.00 90.00 148.79
Last column: nearest neighbours and their distance in Å.
Atoms (fractional coordinates):
La1 0.1163 0.8837 0.5000  8 Sm 3.27-3.62
La2 0.1159 0.8841 0.9132  1 Th 3.45, 7 Sm 3.51-3.74, 2 Y 3.78
La3 0.8837 0.1163 0.0000  8 Sm 3.27-3.62
La4 0.8841 0.1159 0.4132  1 Th 3.45, 7 Sm 3.51-3.74, 2 Y 3.78
Sm1 0.0158 0.9842 0.2033  2 Y 3.35, 3 La 3.47-3.71, 2 Sm 3.72
Sm2 0.2754 0.7246 0.4959  1 Y 3.11, 1 La 3.27, 2 Sm 3.42
Sm3 0.2956 0.7044 0.8874  3 Sm 3.42-3.82, 1 Y 3.48, 3 Th 3.54-3.81, 3 La 3.60-3.70
Sm4 0.3878 0.6122 0.2073  6 Sm 3.56-3.90, 4 La 3.61-3.62, 1 Th 3.87
Sm5 0.4807 0.5193 0.9248  2 Y 3.26-3.39, 2 Sm 3.56, 2 La 3.58
Sm6 0.5193 0.4807 0.4248  2 Y 3.26-3.39, 2 Sm 3.56, 2 La 3.58
Sm7 0.6122 0.3878 0.7073  6 Sm 3.56-3.90, 4 La 3.61-3.62, 1 Th 3.87
Sm8 0.7044 0.2956 0.3874  3 Sm 3.42-3.82, 1 Y 3.48, 3 Th 3.54-3.81, 3 La 3.60-3.70
Sm9 0.7246 0.2754 0.9959  1 Y 3.11, 1 La 3.27, 2 Sm 3.42
Sm10 0.9842 0.0158 0.7033  2 Y 3.35, 3 La 3.47-3.71, 2 Sm 3.72
Y1 0.4067 0.5933 0.6405  5 Sm 3.11-3.39
Y2 0.5933 0.4067 0.1405  5 Sm 3.11-3.39
Th1 0.1998 0.8002 0.1938  2 La 3.45-3.69, 7 Sm 3.54-3.81, 2 Y 3.65
Th2 0.8002 0.1998 0.6938  2 La 3.45-3.69, 7 Sm 3.54-3.81, 2 Y 3.65

## Properties
**ΔH_f (0 K)**: 149 meV per atom
**SG**: Cmc2_1